1.
{
  "formula": "ScI3Br",
  "functional": "SCAN",
  "state": "PBEsol geometry",
  "lattice": [[5.787, 0.000, 0.000], [0.000, 5.787, 0.000], [0.000, 0.000, 5.787]],
  "species": ["Sc", "I", "I", "I", "Br"],
  "fractional_positions": [[0.000, 0.000, 0.000], [0.000, 0.500, 0.500], [0.500, 0.000, 0.500], [0.500, 0.500, 0.000], [0.500, 0.500, 0.500]]
}


2.
{
  "formula": "SeIBr",
  "functional": "SCAN",
  "state": "PBEsol geometry",
  "lattice": [[5.618, 0.000, 0.000], [0.809, 6.408, 0.000], [1.178, 1.999, 7.049]],
  "species": ["Se", "Se", "I", "I", "Br", "Br"],
  "fractional_positions": [[0.000, 0.000, 0.000], [0.173, 0.331, 0.985], [0.227, 0.557, 0.629], [0.781, 0.547, 0.105], [0.350, 0.813, 0.244], [0.706, 0.166, 0.789]]
}


3.
{
  "formula": "SiSeIBr2",
  "functional": "SCAN",
  "state": "PBEsol geometry",
  "lattice": [[4.853, 0.000, 0.000], [0.000, 4.853, 0.000], [0.000, 0.000, 5.394]],
  "species": ["Si", "Se", "I", "Br", "Br"],
  "fractional_positions": [[0.000, 0.000, 0.000], [0.000, 0.000, 0.500], [0.500, 0.500, 0.500], [0.000, 0.500, 0.000], [0.500, 0.000, 0.000]]
}


Number 1: ΔE_f (raw) 1.828 eV per formula unit, uncorrected energy -28.42 eV per atom. Number 2: ΔE_f (raw) -0.145 eV per formula unit, uncorrected energy -25.47 eV per atom. Number 3: ΔE_f (raw) 0.880 eV per formula unit, uncorrected energy -20.97 eV per atom.